HfMnAs | PBE-GGA | relaxed

Structure (POSCAR):
```
HfMnAs
1.0
-1.661 1.661 4.544
1.661 -1.661 4.544
1.661 1.661 -4.544
Hf Mn As
1 1 1
direct
0.000 0.000 0.000 Hf
0.321 0.321 0.000 Mn
0.687 0.687 0.000 As
```

Output
DOS at the Fermi energy   2.901 states/eV/f.u.
E_tot   -24.53 eV per cell
Spin magnetization   2.50 μB/cell